The following is a GGA-PBE calculation of an optimized crystal structure of NdTm7Sc4, from the Alexandria database.

Density of states at the Fermi level (states/eV per cell): 17.608
Raw total energy (eV per atom): -5.0958
Magnetic moment (μB per atom): 0.00
Calculated density (kg/m³): 7329
Polymorph energy (0 for the lowest one) (meV/atom): 0

Lattice parameters (Å, degrees): 6.912 9.143 8.495 81.10 90.04 40.89
Atoms (fractional coordinates):
Tm: 0.974 0.283 0.660
Tm: 0.500 0.000 0.000
Tm: 0.752 0.502 0.004
Tm: 0.224 0.776 0.663
Tm: 0.026 0.717 0.340
Tm: 0.248 0.498 0.996
Tm: 0.776 0.224 0.337
Sc: 0.531 0.724 0.338
Sc: 0.283 0.218 0.340
Sc: 0.717 0.782 0.660
Sc: 0.469 0.276 0.662
Nd: 0.000 0.000 0.000